This record from Alexandria via LeMat-Bulk describes a geometry-optimized CuRe2Te structure. The functional is PBE.

a = 8.4334 Å, b = 8.4334 Å, c = 8.4334 Å
α = 20.61°, β = 20.61°, γ = 20.61°
Last column: nearest neighbours and their distance in Å.
Positions (direct):
1 Cu 0.0000 0.0000 0.0000  6 Re 2.66
2 Re 0.2520 0.2520 0.2520  3 Cu 2.66, 3 Te 2.74
3 Re 0.7480 0.7480 0.7480  3 Cu 2.66, 3 Te 2.74
4 Te 0.5000 0.5000 0.5000  6 Re 2.74, 6 Te 3.02

Raw formation energy in eV per atom: 0.89
DOS at the Fermi energy in states/eV/atom: 1.18
Calculated density in g/cm³: 14.39
Spin magnetization in μB per cell: 0.00
Calculated total energy in eV per atom: -7.14

=====

This record from Alexandria via LeMat-Bulk describes a geometry-optimized TbSm2N3 structure. The functional is PBE.

a = 6.1639 Å, b = 6.1639 Å, c = 6.1639 Å
α = 146.45°, β = 131.83°, γ = 59.98°
Last column: nearest neighbours and their distance in Å.
Positions (direct):
1 Tb 0.0000 0.0000 0.0000  6 N 2.49-2.52
2 Sm 0.3338 0.3338 0.0000  6 N 2.51-2.55
3 Sm 0.6662 0.6662 0.0000  6 N 2.51-2.55
4 N 0.1631 0.6631 0.5000  2 Tb 2.49, 4 Sm 2.52-2.55
5 N 0.5000 0.0000 0.5000  4 Sm 2.51, 2 Tb 2.52
6 N 0.8369 0.3369 0.5000  2 Tb 2.49, 4 Sm 2.52-2.55

Raw formation energy in eV per atom: -1.54
DOS at the Fermi energy in states/eV/atom: 0.04
Calculated density in g/cm³: 8.72
Spin magnetization in μB per cell: 0.00
Calculated total energy in eV per atom: -8.04

=====

This record from Alexandria via LeMat-Bulk describes a geometry-optimized Sr2AlHO3 structure. The functional is PBE.

a = 6.8412 Å, b = 6.8412 Å, c = 6.8412 Å
α = 148.46°, β = 147.69°, γ = 45.78°
Last column: nearest neighbours and their distance in Å.
Positions (direct):
1 Sr 0.1474 0.1474 0.0000  7 O 2.52-2.66, 2 H 2.66
2 Sr 0.8526 0.8526 0.0000  7 O 2.52-2.66, 2 H 2.66
3 Al 0.5000 0.5000 0.0000  2 H 1.86, 4 O 1.90-1.92
4 H 0.5000 0.0000 0.5000  2 Al 1.86
5 O 0.0000 0.5000 0.5000  2 Al 1.90
6 O 0.3475 0.3475 0.0000  1 Al 1.92
7 O 0.6525 0.6525 0.0000  1 Al 1.92

DOS at the Fermi energy in states/eV/atom: 0.00
Calculated density in g/cm³: 4.68
Spin magnetization in μB per cell: 0.00
Calculated total energy in eV per atom: -6.01

=====

This record from Alexandria via LeMat-Bulk describes a geometry-optimized Na3Tm3CrSe8 structure. The functional is PBE.

a = 8.5230 Å, b = 8.5230 Å, c = 8.5230 Å
α = 55.39°, β = 55.39°, γ = 55.39°
Last column: nearest neighbours and their distance in Å.
Positions (direct):
1 Na 0.0000 0.5000 0.5000  6 Se 3.01-3.03
2 Na 0.5000 0.0000 0.5000  6 Se 3.01-3.03
3 Na 0.5000 0.5000 0.0000  6 Se 3.01-3.03
4 Tm 0.0000 0.0000 0.5000  6 Se 2.82-2.83
5 Tm 0.0000 0.5000 0.0000  6 Se 2.82-2.83
6 Tm 0.5000 0.0000 0.0000  6 Se 2.82-2.83
7 Cr 0.5000 0.5000 0.5000  6 Se 2.61
8 Se 0.2429 0.2429 0.2429  3 Tm 2.82, 3 Na 3.01
9 Se 0.2626 0.7248 0.7248  1 Cr 2.61, 2 Tm 2.83
10 Se 0.2752 0.2752 0.7374  1 Cr 2.61, 2 Tm 2.83
11 Se 0.2752 0.7374 0.2752  1 Cr 2.61, 2 Tm 2.83
12 Se 0.7248 0.2626 0.7248  1 Cr 2.61, 2 Tm 2.83
13 Se 0.7248 0.7248 0.2626  1 Cr 2.61, 2 Tm 2.83
14 Se 0.7374 0.2752 0.2752  1 Cr 2.61, 2 Tm 2.83
15 Se 0.7571 0.7571 0.7571  3 Tm 2.82, 3 Na 3.01

Raw formation energy in eV per atom: -1.39
DOS at the Fermi energy in states/eV/atom: 0.47
Calculated density in g/cm³: 5.35
Spin magnetization in μB per cell: 2.40
Calculated total energy in eV per atom: -5.04

=====

This record from Alexandria via LeMat-Bulk describes a geometry-optimized Tl2AuS structure. The functional is PBE.

a = 7.8335 Å, b = 7.8335 Å, c = 7.8335 Å
α = 29.52°, β = 29.52°, γ = 29.52°
Last column: nearest neighbours and their distance in Å.
Positions (direct):
1 Tl 0.0000 0.0000 0.0000  3 S 2.89, 3 Au 2.99
2 Tl 0.1739 0.1739 0.1739  3 S 2.95, 3 Au 3.06
3 Au 0.4179 0.4179 0.4179  6 Tl 2.99-3.06
4 S 0.5892 0.5892 0.5892  6 Tl 2.89-2.95

Excess energy over the best structure of this formula in the dataset in eV per atom: 0.029
Raw formation energy in eV per atom: -0.08
DOS at the Fermi energy in states/eV/atom: 0.36
Calculated density in g/cm³: 10.25
Spin magnetization in μB per cell: 0.00
Calculated total energy in eV per atom: -3.11

=====

This record from Alexandria via LeMat-Bulk describes a geometry-optimized Ac2Ho3Hg4 structure. The functional is PBE.

a = 9.6795 Å, b = 9.6795 Å, c = 8.4796 Å
α = 90.00°, β = 90.00°, γ = 136.57°
Last column: nearest neighbours and their distance in Å.
Positions (direct):
1 Ac 0.0991 0.9009 0.9087  7 Hg 3.47-3.86, 2 Ho 3.75
2 Ac 0.4009 0.5991 0.4087  7 Hg 3.47-3.86, 2 Ho 3.75
3 Ac 0.5991 0.4009 0.5913  7 Hg 3.47-3.86, 2 Ho 3.75
4 Ac 0.9009 0.0991 0.0913  7 Hg 3.47-3.86, 2 Ho 3.75
5 Ho 0.0000 0.0000 0.5000  6 Hg 2.99-3.13
6 Ho 0.0162 0.4838 0.7500  5 Hg 3.08-3.16
7 Ho 0.4838 0.0162 0.2500  5 Hg 3.08-3.16
8 Ho 0.5000 0.5000 0.0000  6 Hg 2.99-3.13
9 Ho 0.5162 0.9838 0.7500  5 Hg 3.08-3.16
10 Ho 0.9838 0.5162 0.2500  5 Hg 3.08-3.16
11 Hg 0.1733 0.8267 0.5286  5 Ho 3.09-3.16
12 Hg 0.1877 0.3123 0.7500  3 Ho 2.99-3.08
13 Hg 0.3123 0.1877 0.2500  3 Ho 2.99-3.08
14 Hg 0.3267 0.6733 0.0286  5 Ho 3.09-3.16
15 Hg 0.6733 0.3267 0.9714  5 Ho 3.09-3.16
16 Hg 0.6877 0.8123 0.7500  3 Ho 2.99-3.08
17 Hg 0.8123 0.6877 0.2500  3 Ho 2.99-3.08
18 Hg 0.8267 0.1733 0.4714  5 Ho 3.09-3.16

Energy of formation from the pure elements in eV per atom: -0.3601
DOS at the Fermi energy in states/eV/atom: 1.01
Calculated density in g/cm³: 10.65
Spin magnetization in μB per cell: 0.00
Calculated total energy in eV per atom: -2.93

=====

This record from Alexandria via LeMat-Bulk describes a geometry-optimized NdHo2 structure. The functional is PBE.

a = 7.9932 Å, b = 7.9932 Å, c = 7.9932 Å
α = 154.12°, β = 154.12°, γ = 36.92°
Last column: nearest neighbours and their distance in Å.
Positions (direct):
1 Nd 0.0000 0.0000 0.0000  4 Nd 3.58, 8 Ho 3.60
2 Ho 0.3314 0.3314 0.0000  8 Ho 3.54-3.58, 4 Nd 3.60
3 Ho 0.6686 0.6686 0.0000  8 Ho 3.54-3.58, 4 Nd 3.60

Energy of formation from the pure elements in eV per atom: 0.0229
Excess energy over the best structure of this formula in the dataset in eV per atom: 0.028
DOS at the Fermi energy in states/eV/atom: 1.35
Calculated density in g/cm³: 8.11
Spin magnetization in μB per cell: 0.00
Calculated total energy in eV per atom: -4.62

=====

This record from Alexandria via LeMat-Bulk describes a geometry-optimized La7Er structure. The functional is PBE.

a = 7.4115 Å, b = 7.4115 Å, c = 7.4115 Å
α = 60.00°, β = 60.00°, γ = 60.00°
Last column: nearest neighbours and their distance in Å.
Positions (direct):
1 La 0.0000 0.0000 0.0000  12 La 3.71
2 La 0.0000 0.0000 0.5000  10 La 3.71, 2 Er 3.71
3 La 0.0000 0.5000 0.0000  10 La 3.71, 2 Er 3.71
4 La 0.0000 0.5000 0.5000  2 Er 3.71, 10 La 3.71
5 La 0.5000 0.0000 0.0000  10 La 3.71, 2 Er 3.71
6 La 0.5000 0.0000 0.5000  2 Er 3.71, 10 La 3.71
7 La 0.5000 0.5000 0.0000  10 La 3.71, 2 Er 3.71
8 Er 0.5000 0.5000 0.5000  12 La 3.71

Energy of formation from the pure elements in eV per atom: 0.0089
DOS at the Fermi energy in states/eV/atom: 1.77
Calculated density in g/cm³: 6.57
Spin magnetization in μB per cell: 0.00
Calculated total energy in eV per atom: -4.87